Entry 1:
Density functional theory data (PBE) for a relaxed TaIrAu2 crystal.

The total energy is -6.80 eV per atom. The crystal system is cubic. For the excess energy over the best structure of this formula in the dataset, the calculation gives 0.166 eV per atom. For the total magnetization, the calculation gives 0.00 μB/f.u. The value obtained for the formation energy is 22 meV/atom. The volume comes out at 273 Å³/cell.

It has space group F-43m (No. 216), with a = 6.485 Å, b = 6.485 Å, c = 6.485 Å, α = 90.00°, β = 90.00° and γ = 90.00°. The inequivalent atoms are Ta at (0.000, 0.000, 0.000), Ir at (0.250, 0.250, 0.250), Au at (0.000, 0.000, 0.500) and Au at (0.250, 0.250, 0.750).



Entry 2:
Density functional theory data (PBE) for a relaxed TaIr2Au crystal.

The total energy is -8.32 eV per atom. The crystal system is trigonal. For the total magnetization, the calculation gives 0.00 μB/f.u. The value obtained for the formation energy is -107 meV/atom. The volume comes out at 196 Å³/cell.

It has space group R-3m (No. 166, hexagonal axes), with a = 2.8438 Å, b = 2.8438 Å, c = 27.9476 Å, α = 90.00°, β = 90.00° and γ = 120.00°. The inequivalent atoms are Ta at (0.0000, 0.0000, 0.0000), Ir at (0.0000, 0.0000, 0.2547) and Au at (0.0000, 0.0000, 0.5000).



Entry 3:
Density functional theory data (PBE) for a relaxed Ta2IrAu crystal.

The total energy is -9.09 eV per atom. The crystal system is tetragonal. For the total magnetization, the calculation gives 0.00 μB/f.u. The value obtained for the formation energy is -125 meV/atom. The volume comes out at 136 Å³/cell.

It has space group I-4m2 (No. 119), with a = 4.001 Å, b = 4.001 Å, c = 8.470 Å, α = 90.00°, β = 90.00° and γ = 90.00°. The inequivalent atoms are Ta at (0.000, 0.000, 0.000), Ta at (0.000, 0.500, 0.250), Ir at (0.000, 0.000, 0.500) and Au at (0.000, 0.500, 0.750).



Entry 4:
Density functional theory data (PBE) for a relaxed TaIr2Au crystal.

The total energy is -8.22 eV per atom. The crystal system is tetragonal. For the total magnetization, the calculation gives 0.00 μB/f.u. The value obtained for the formation energy is -3 meV/atom. The volume comes out at 66 Å³/cell.

It has space group P4mm (No. 99), with a = 3.447 Å, b = 3.447 Å, c = 5.597 Å, α = 90.00°, β = 90.00° and γ = 90.00°. The inequivalent atoms are Ta at (0.000, 0.000, 0.000), Ir at (0.000, 0.000, 0.545), Ir at (0.500, 0.500, 0.794) and Au at (0.500, 0.500, 0.291).



Entry 5:
Density functional theory data (PBE) for a relaxed TaIr2Au crystal.

The total energy is -8.18 eV per atom. The crystal system is monoclinic. For the total magnetization, the calculation gives 0.00 μB/f.u. The value obtained for the formation energy is 28 meV/atom. The volume comes out at 65 Å³/cell.

It has space group P2/m (No. 10), with a = 2.810 Å, b = 4.646 Å, c = 4.996 Å, α = 90.00°, β = 92.04° and γ = 90.00°. The inequivalent atoms are Ta at (0.000, 0.000, 0.000), Ir at (0.240, 0.500, 0.751) and Au at (0.500, 0.000, 0.500).



Entry 6:
Density functional theory data (PBE) for a relaxed TaIrAu2 crystal.

The total energy is -6.88 eV per atom. The crystal system is orthorhombic. For the excess energy over the best structure of this formula in the dataset, the calculation gives 0.081 eV per atom. For the total magnetization, the calculation gives 0.00 μB/f.u. The value obtained for the formation energy is -64 meV/atom. The volume comes out at 269 Å³/cell.

It has space group Fmmm (No. 69), with a = 5.526 Å, b = 5.632 Å, c = 8.634 Å, α = 90.00°, β = 90.00° and γ = 90.00°. The inequivalent atoms are Ta at (0.000, 0.000, 0.000), Ir at (0.000, 0.000, 0.500) and Au at (0.250, 0.250, 0.250).



Entry 7:
Density functional theory data (PBE) for a relaxed Ta2IrAu crystal.

The total energy is -9.23 eV per atom. The crystal system is tetragonal. For the total magnetization, the calculation gives 0.00 μB/f.u. The value obtained for the formation energy is -267 meV/atom. The volume comes out at 134 Å³/cell.

It has space group I4/mmm (No. 139), with a = 4.022 Å, b = 4.022 Å, c = 8.256 Å, α = 90.00°, β = 90.00° and γ = 90.00°. The inequivalent atoms are Ta at (0.000, 0.500, 0.250), Ir at (0.000, 0.000, 0.000) and Au at (0.000, 0.000, 0.500).



Entry 8:
Density functional theory data (PBE) for a relaxed TaIr2Au crystal.

The total energy is -8.31 eV per atom. The crystal system is monoclinic. For the total magnetization, the calculation gives 0.00 μB/f.u. The value obtained for the formation energy is -101 meV/atom. The volume comes out at 129 Å³/cell.

It has space group Cm (No. 8), with a = 9.505 Å, b = 2.850 Å, c = 4.845 Å, α = 90.00°, β = 101.01° and γ = 90.00°. The inequivalent atoms are Ta at (0.000, 0.000, 0.000), Ir at (0.016, 0.500, 0.520), Ir at (0.247, 0.000, 0.773) and Au at (0.259, 0.500, 0.275).